This record from the Alexandria database describes an optimized crystal structure of Th4Tl3Bi. The functional is PBE-GGA.

```
8
Lattice="4.181 0.000 0.000 0.000 4.181 0.000 0.000 0.000 13.714" Properties=species:S:1:pos:R:3 pbc="T T T"
Th 0.000 0.000 1.683
Th 0.000 0.000 5.091
Th 0.000 0.000 8.623
Th 0.000 0.000 12.031
Tl 2.090 2.090 0.000
Tl 2.090 2.090 3.358
Tl 2.090 2.090 10.356
Bi 2.090 2.090 6.857
```

Results
As for the energy of formation from the pure elements: -1.68 eV/f.u.



This record from the Alexandria database describes an optimized crystal structure of Ac3PrTe4. The functional is PBE-GGA.

```
8
Lattice="4.739 -6.626 0.000 4.739 6.626 0.000 0.000 0.000 4.628" Properties=species:S:1:pos:R:3 pbc="T T T"
Ac 0.000 0.000 0.000
Ac 2.369 3.313 2.314
Ac 2.369 -3.313 2.314
Pr 4.739 0.000 0.000
Te 4.739 3.259 0.000
Te 2.445 0.000 2.314
Te 7.033 0.000 2.314
Te 4.739 -3.259 0.000
```

Results
The value obtained for the formation energy (no corrections) is -1474 meV/atom.



This record from the Alexandria database describes an optimized crystal structure of KAlIr2. The functional is PBE-GGA.

```
4
Lattice="4.139 0.000 0.000 0.000 4.139 0.000 0.000 0.000 4.057" Properties=species:S:1:pos:R:3 pbc="T T T"
K 0.000 0.000 0.000
Al 2.070 2.070 0.000
Ir 0.000 2.070 2.028
Ir 2.070 0.000 2.028
```

Results
As for the energy of formation from the pure elements: 3.12 eV/f.u.



This record from the Alexandria database describes an optimized crystal structure of ThSbRuSe. The functional is PBE-GGA.

```
8
Lattice="4.595 0.000 0.000 0.000 4.595 0.000 0.000 0.000 8.716" Properties=species:S:1:pos:R:3 pbc="T T T"
Th 1.149 1.149 1.876
Th 3.446 3.446 6.840
Sb 1.149 1.149 5.719
Sb 3.446 3.446 2.997
Ru 1.149 3.446 4.358
Ru 3.446 1.149 4.358
Se 1.149 3.446 0.000
Se 3.446 1.149 0.000
```

Results
The value obtained for the formation energy (no corrections) is -893 meV/atom.